# 1
InSiAg2 | PBE-GGA | relaxed

Results
- total DFT energy (no corrections) (eV per atom) = -3.216
- magnetic moment (μB per cell) = 0.00
- E_form (uncorrected) (meV per atom) = 250

abc: 3.022 3.022 8.449
angles: 90.00 90.00 90.00
Positions (direct):
In (0.000, 0.000, 0.000)
Si (0.500, 0.500, 0.273)
Ag (0.000, 0.000, 0.484)
Ag (0.500, 0.500, 0.730)

***

# 2
Li4LaGa2 | PBE-GGA | relaxed

Results
- total DFT energy (no corrections) (eV per atom) = -2.937
- magnetic moment (μB per cell) = 0.00

abc: 7.800 7.800 4.603
angles: 90.00 90.00 90.00
Positions (direct):
Li (0.098, 0.353, 0.000)
Li (0.147, 0.598, 0.500)
Li (0.353, 0.098, 0.000)
Li (0.402, 0.853, 0.500)
Li (0.598, 0.147, 0.500)
Li (0.647, 0.902, 0.000)
Li (0.853, 0.402, 0.500)
Li (0.902, 0.647, 0.000)
La (0.000, 0.000, 0.500)
La (0.500, 0.500, 0.000)
Ga (0.215, 0.785, 0.000)
Ga (0.285, 0.285, 0.500)
Ga (0.715, 0.715, 0.500)
Ga (0.785, 0.215, 0.000)

***

# 3
CsAcIn4 | PBE-GGA | relaxed

Results
- total DFT energy (no corrections) (eV per atom) = -2.831
- magnetic moment (μB per cell) = 0.00

abc: 6.461 6.461 6.461
angles: 60.00 60.00 60.00
Positions (direct):
Cs (0.000, 0.000, 0.000)
Ac (0.250, 0.250, 0.250)
In (0.126, 0.625, 0.625)
In (0.625, 0.126, 0.625)
In (0.625, 0.625, 0.126)
In (0.625, 0.625, 0.625)

***

# 4
Mg7Hg2Pt2 | PBE-GGA | relaxed

Results
- total DFT energy (no corrections) (eV per atom) = -2.517
- magnetic moment (μB per cell) = 0.00

abc: 6.356 6.356 6.351
angles: 90.11 90.11 79.79
Positions (direct):
Mg (0.000, 0.000, 0.000)
Mg (0.000, 0.499, 0.253)
Mg (0.000, 0.501, 0.747)
Mg (0.499, 0.000, 0.253)
Mg (0.500, 0.500, 0.241)
Mg (0.500, 0.500, 0.759)
Mg (0.501, 0.000, 0.747)
Hg (0.183, 0.817, 0.500)
Hg (0.817, 0.183, 0.500)
Pt (0.276, 0.276, 0.999)
Pt (0.724, 0.724, 0.001)

***

# 5
SnBRuRh | PBE-GGA | relaxed

Results
- total DFT energy (no corrections) (eV per atom) = -7.011
- magnetic moment (μB per cell) = 0.00
- energy relative to the lowest polymorph listed for this composition (eV/atom) = 0.030

abc: 2.930 2.986 6.530
angles: 90.00 90.00 90.00
Positions (direct):
Sn (0.000, 0.000, 0.000)
B (0.000, 0.500, 0.466)
Ru (0.500, 0.000, 0.352)
Rh (0.500, 0.500, 0.723)

***

# 6
InAuBr2 | PBE-GGA | relaxed

Results
- total DFT energy (no corrections) (eV per atom) = -2.617
- magnetic moment (μB per cell) = 0.00
- energy relative to the lowest polymorph listed for this composition (eV/atom) = 0.137
- E_form (uncorrected) (meV per atom) = -277

abc: 3.759 7.186 9.199
angles: 90.00 90.00 90.00
Positions (direct):
In (0.000, 0.000, 0.000)
In (0.500, 0.500, 0.500)
Au (0.000, 0.500, 0.709)
Au (0.500, 0.000, 0.209)
Br (0.000, 0.000, 0.423)
Br (0.000, 0.500, 0.276)
Br (0.500, 0.000, 0.776)
Br (0.500, 0.500, 0.923)

***

# 7
BaBi2Pd4 | PBE-GGA | relaxed

Results
- total DFT energy (no corrections) (eV per atom) = -4.776
- magnetic moment (μB per cell) = 0.00
- energy relative to the lowest polymorph listed for this composition (eV/atom) = 0.057

abc: 8.645 8.645 4.288
angles: 90.00 90.00 90.00
Positions (direct):
Ba (0.000, 0.000, 0.000)
Ba (0.500, 0.500, 0.500)
Bi (0.221, 0.221, 0.500)
Bi (0.279, 0.721, 0.000)
Bi (0.721, 0.279, 0.000)
Bi (0.779, 0.779, 0.500)
Pd (0.086, 0.643, 0.500)
Pd (0.143, 0.414, 0.000)
Pd (0.357, 0.914, 0.500)
Pd (0.414, 0.143, 0.000)
Pd (0.586, 0.857, 0.000)
Pd (0.643, 0.086, 0.500)
Pd (0.857, 0.586, 0.000)
Pd (0.914, 0.357, 0.500)

***

# 8
RbNdI2 | PBE-GGA | relaxed

Results
- total DFT energy (no corrections) (eV per atom) = -3.218
- magnetic moment (μB per cell) = 0.00
- energy relative to the lowest polymorph listed for this composition (eV/atom) = 0.000
- E_form (uncorrected) (meV per atom) = -1009

abc: 4.007 4.007 8.759
angles: 90.00 90.00 90.00
Positions (direct):
Rb (0.000, 0.000, 0.000)
Nd (0.000, 0.000, 0.500)
I (0.500, 0.500, 0.288)
I (0.500, 0.500, 0.712)

***

# 9
CoTcRh2 | PBE-GGA | relaxed

Results
- total DFT energy (no corrections) (eV per atom) = -8.044
- magnetic moment (μB per cell) = 2.82
- energy relative to the lowest polymorph listed for this composition (eV/atom) = 0.019

abc: 3.773 3.773 7.565
angles: 90.00 90.00 90.00
Positions (direct):
Co (0.000, 0.000, 0.000)
Co (0.500, 0.500, 0.500)
Tc (0.000, 0.000, 0.500)
Tc (0.500, 0.500, 0.000)
Rh (0.000, 0.500, 0.250)
Rh (0.000, 0.500, 0.750)
Rh (0.500, 0.000, 0.250)
Rh (0.500, 0.000, 0.750)

***

# 10
Th2ZnRu | PBE-GGA | relaxed

Results
- total DFT energy (no corrections) (eV per atom) = -6.274
- magnetic moment (μB per cell) = 0.00

abc: 4.106 4.106 28.104
angles: 90.00 90.00 120.00
Positions (direct):
Th (0.000, 0.000, 0.114)
Th (0.000, 0.000, 0.886)
Th (0.333, 0.667, 0.553)
Th (0.333, 0.667, 0.780)
Th (0.667, 0.333, 0.220)
Th (0.667, 0.333, 0.447)
Zn (0.000, 0.000, 0.000)
Zn (0.333, 0.667, 0.667)
Zn (0.667, 0.333, 0.333)
Ru (0.000, 0.000, 0.500)
Ru (0.333, 0.667, 0.167)
Ru (0.667, 0.333, 0.833)

***

# 11
Dy2Ho3TmSb6 | PBE-GGA | relaxed

Results
- total DFT energy (no corrections) (eV per atom) = -5.458
- magnetic moment (μB per cell) = 0.00
- E_form (uncorrected) (meV per atom) = -1112

abc: 9.763 9.763 8.734
angles: 102.87 102.87 25.84
Positions (direct):
Dy (0.166, 0.166, 0.333)
Dy (0.834, 0.834, 0.667)
Ho (0.167, 0.167, 0.833)
Ho (0.500, 0.500, 0.500)
Ho (0.833, 0.833, 0.167)
Tm (0.500, 0.500, 0.000)
Sb (0.001, 0.001, 0.752)
Sb (0.334, 0.334, 0.416)
Sb (0.334, 0.334, 0.918)
Sb (0.666, 0.666, 0.082)
Sb (0.666, 0.666, 0.584)
Sb (0.999, 0.999, 0.248)

***

# 12
Ag2WAu | PBE-GGA | relaxed

Results
- total DFT energy (no corrections) (eV per atom) = -4.979
- magnetic moment (μB per cell) = 0.00
- energy relative to the lowest polymorph listed for this composition (eV/atom) = 0.177

abc: 9.512 2.762 5.292
angles: 90.00 96.87 90.00
Positions (direct):
Ag (0.000, 0.000, 0.000)
Ag (0.248, 0.000, 0.772)
Ag (0.500, 0.500, 0.000)
Ag (0.748, 0.500, 0.772)
W (0.499, 0.000, 0.495)
W (0.999, 0.500, 0.495)
Au (0.253, 0.500, 0.287)
Au (0.753, 0.000, 0.287)

***

Repeat the seventh record exactly.
BaBi2Pd4 | PBE-GGA | relaxed

Results
- total DFT energy (no corrections) (eV per atom) = -4.776
- magnetic moment (μB per cell) = 0.00
- energy relative to the lowest polymorph listed for this composition (eV/atom) = 0.057

abc: 8.645 8.645 4.288
angles: 90.00 90.00 90.00
Positions (direct):
Ba (0.000, 0.000, 0.000)
Ba (0.500, 0.500, 0.500)
Bi (0.221, 0.221, 0.500)
Bi (0.279, 0.721, 0.000)
Bi (0.721, 0.279, 0.000)
Bi (0.779, 0.779, 0.500)
Pd (0.086, 0.643, 0.500)
Pd (0.143, 0.414, 0.000)
Pd (0.357, 0.914, 0.500)
Pd (0.414, 0.143, 0.000)
Pd (0.586, 0.857, 0.000)
Pd (0.643, 0.086, 0.500)
Pd (0.857, 0.586, 0.000)
Pd (0.914, 0.357, 0.500)

***

Q: What is the total DFT energy (no corrections) in the ninth record?
A: -8.044 eV per atom

***

Q: What is the magnetic moment in the first record?
A: 0.00 μB per cell